A plane-wave DFT calculation with PBE was carried out for a relaxed NdYTm14 crystal.

a b c (Å): 11.3204 7.0497 7.0497
angles (deg): 60.04 90.00 90.00
With the nearest neighbours (Å) after each atom.
Fractional coordinates of all 16 atoms:
1 Nd 0.0000 0.0000 0.0000  10 Tm 3.51-3.53, 2 Y 3.53
2 Y 0.0000 0.5005 0.5005  10 Tm 3.50-3.53, 2 Nd 3.53
3 Tm 0.0000 0.0003 0.5007  8 Tm 3.49-3.53, 2 Nd 3.52-3.53, 2 Y 3.52-3.53
4 Tm 0.0000 0.5007 0.0003  8 Tm 3.49-3.53, 2 Nd 3.52-3.53, 2 Y 3.52-3.53
5 Tm 0.2511 0.6679 0.6679  11 Tm 3.47-3.53, 1 Y 3.50
6 Tm 0.2520 0.1679 0.1679  11 Tm 3.47-3.53, 1 Nd 3.51
7 Tm 0.2534 0.1673 0.6670  10 Tm 3.45-3.53, 1 Nd 3.52, 1 Y 3.52
8 Tm 0.2534 0.6670 0.1673  10 Tm 3.45-3.53, 1 Nd 3.52, 1 Y 3.52
9 Tm 0.5000 0.3342 0.3342  12 Tm 3.45-3.53
10 Tm 0.5000 0.3346 0.8345  12 Tm 3.46-3.53
11 Tm 0.5000 0.8342 0.8342  12 Tm 3.45-3.53
12 Tm 0.5000 0.8345 0.3346  12 Tm 3.46-3.53
13 Tm 0.7466 0.1673 0.6670  10 Tm 3.45-3.53, 1 Nd 3.52, 1 Y 3.52
14 Tm 0.7466 0.6670 0.1673  10 Tm 3.45-3.53, 1 Nd 3.52, 1 Y 3.52
15 Tm 0.7480 0.1679 0.1679  11 Tm 3.47-3.53, 1 Nd 3.51
16 Tm 0.7489 0.6679 0.6679  11 Tm 3.47-3.53, 1 Y 3.50

Computed properties:
DOS(E_F), states/eV/cell: 22.891
DFT formation energy, kJ/mol of atoms: 1.1
M_tot, μB per formula unit: 0.000



A plane-wave DFT calculation with PBE was carried out for a relaxed Nd4Y3Tm4 crystal.

a b c (Å): 18.1436 18.1436 18.1436
angles (deg): 168.82 162.05 21.20
With the nearest neighbours (Å) after each atom.
Fractional coordinates of all 11 atoms:
1 Nd 0.0906 0.0906 0.0000  3 Tm 3.22-3.26, 2 Nd 3.54
2 Nd 0.2676 0.7676 0.5000  4 Tm 3.38-3.57, 6 Nd 3.54-3.57
3 Nd 0.7324 0.2324 0.5000  4 Tm 3.38-3.57, 6 Nd 3.54-3.57
4 Nd 0.9094 0.9094 0.0000  3 Tm 3.22-3.26, 2 Nd 3.54
5 Y 0.0000 0.5000 0.5000  2 Y 3.54, 4 Nd 3.68, 8 Tm 3.71
6 Y 0.3642 0.3642 0.0000  2 Y 3.54, 6 Tm 3.69-3.70, 6 Nd 3.71-3.87
7 Y 0.6358 0.6358 0.0000  2 Y 3.54, 6 Tm 3.69-3.70, 6 Nd 3.71-3.87
8 Tm 0.1808 0.1808 0.0000  5 Nd 3.22-3.57, 2 Tm 3.54
9 Tm 0.4548 0.9548 0.5000  3 Tm 3.22-3.54, 2 Nd 3.26
10 Tm 0.5452 0.0452 0.5000  3 Tm 3.22-3.54, 2 Nd 3.26
11 Tm 0.8192 0.8192 0.0000  5 Nd 3.22-3.57, 2 Tm 3.54

Computed properties:
DOS(E_F), states/eV/cell: 19.474
Relative energy among the computed polymorphs, meV per atom: 28.7
DFT formation energy, kJ/mol of atoms: 6.0
M_tot, μB per formula unit: 0.000



A plane-wave DFT calculation with PBE was carried out for a relaxed Nd5Y4Tm3 crystal.

a b c (Å): 7.0357 7.0357 10.6577
angles (deg): 99.02 99.02 51.59
With the nearest neighbours (Å) after each atom.
Fractional coordinates of all 12 atoms:
1 Nd 0.0000 0.0000 0.0000  2 Tm 3.06
2 Nd 0.0548 0.0548 0.6549  3 Y 3.03-3.19, 1 Nd 3.35
3 Nd 0.2426 0.2426 0.4163  1 Tm 3.43, 4 Nd 3.53-3.77, 4 Y 3.61-3.78
4 Nd 0.7574 0.7574 0.5837  1 Tm 3.43, 4 Nd 3.53-3.77, 4 Y 3.61-3.78
5 Nd 0.9452 0.9452 0.3451  3 Y 3.03-3.19, 1 Nd 3.35
6 Y 0.2844 0.2844 0.7949  1 Nd 3.03, 1 Y 3.17, 4 Tm 3.19-3.38
7 Y 0.4842 0.4842 0.6532  2 Y 3.17-3.36, 2 Nd 3.19
8 Y 0.5158 0.5158 0.3468  2 Y 3.17-3.36, 2 Nd 3.19
9 Y 0.7156 0.7156 0.2051  1 Nd 3.03, 1 Y 3.17, 4 Tm 3.19-3.38
10 Tm 0.2788 0.2788 0.1052  1 Tm 3.19, 3 Y 3.32-3.38, 2 Nd 3.43-3.51
11 Tm 0.5000 0.5000 0.0000  2 Nd 3.06, 2 Y 3.19, 2 Tm 3.19
12 Tm 0.7212 0.7212 0.8948  1 Tm 3.19, 3 Y 3.32-3.38, 2 Nd 3.43-3.51

Computed properties:
DOS(E_F), states/eV/cell: 16.720
DFT formation energy, kJ/mol of atoms: 33.5
M_tot, μB per formula unit: 0.507



A plane-wave DFT calculation with PBE was carried out for a relaxed NdYTm4 crystal.

a b c (Å): 6.5548 6.5548 6.5548
angles (deg): 60.00 60.00 60.00
With the nearest neighbours (Å) after each atom.
Fractional coordinates of all 6 atoms:
1 Nd 0.0000 0.0000 0.0000  12 Tm 3.84, 4 Y 4.01
2 Y 0.7500 0.7500 0.7500  12 Tm 3.84, 4 Nd 4.01
3 Tm 0.3755 0.3755 0.3755  6 Tm 3.26-3.29
4 Tm 0.3755 0.3755 0.8734  6 Tm 3.26-3.29
5 Tm 0.3755 0.8734 0.3755  6 Tm 3.26-3.29
6 Tm 0.8734 0.3755 0.3755  6 Tm 3.26-3.29

Computed properties:
DOS(E_F), states/eV/cell: 12.075
Relative energy among the computed polymorphs, meV per atom: 236.7
DFT formation energy, kJ/mol of atoms: 25.5
M_tot, μB per formula unit: 1.529



A plane-wave DFT calculation with PBE was carried out for a relaxed Nd2Y5Tm6 crystal.

a b c (Å): 11.6267 20.2130 3.5721
angles (deg): 90.00 90.00 90.00
With the nearest neighbours (Å) after each atom.
Fractional coordinates of all 26 atoms:
1 Nd 0.1682 0.2166 0.0000  3 Tm 3.38-3.62, 6 Y 3.51-3.78, 2 Nd 3.57
2 Nd 0.3318 0.7166 0.0000  3 Tm 3.38-3.62, 6 Y 3.51-3.78, 2 Nd 3.57
3 Nd 0.6682 0.2834 0.0000  3 Tm 3.38-3.62, 6 Y 3.51-3.78, 2 Nd 3.57
4 Nd 0.8318 0.7834 0.0000  3 Tm 3.38-3.62, 6 Y 3.51-3.78, 2 Nd 3.57
5 Y 0.0000 0.5000 0.5000  6 Tm 3.31-3.39, 4 Y 3.57-3.65
6 Y 0.0914 0.7790 0.5000  5 Tm 3.28-3.44, 4 Nd 3.51-3.55, 2 Y 3.57
7 Y 0.1994 0.0526 0.5000  7 Tm 3.55-3.91, 3 Y 3.57-3.65, 2 Nd 3.78
8 Y 0.3006 0.5526 0.5000  7 Tm 3.55-3.91, 3 Y 3.57-3.65, 2 Nd 3.78
9 Y 0.4086 0.2790 0.5000  5 Tm 3.28-3.44, 4 Nd 3.51-3.55, 2 Y 3.57
10 Y 0.5000 0.0000 0.5000  6 Tm 3.31-3.39, 4 Y 3.57-3.65
11 Y 0.5914 0.7210 0.5000  5 Tm 3.28-3.44, 4 Nd 3.51-3.55, 2 Y 3.57
12 Y 0.6994 0.4474 0.5000  7 Tm 3.55-3.91, 3 Y 3.57-3.65, 2 Nd 3.78
13 Y 0.8006 0.9474 0.5000  7 Tm 3.55-3.91, 3 Y 3.57-3.65, 2 Nd 3.78
14 Y 0.9086 0.2210 0.5000  5 Tm 3.28-3.44, 4 Nd 3.51-3.55, 2 Y 3.57
15 Tm 0.0617 0.9233 0.0000  5 Tm 3.42-3.66, 6 Y 3.44-3.56
16 Tm 0.0778 0.6354 0.0000  1 Nd 3.38, 6 Y 3.39-3.56, 4 Tm 3.48-3.57
17 Tm 0.1783 0.3725 0.5000  2 Y 3.28-3.31, 6 Tm 3.48-3.66, 2 Nd 3.62
18 Tm 0.3217 0.8725 0.5000  2 Y 3.28-3.31, 6 Tm 3.48-3.66, 2 Nd 3.62
19 Tm 0.4222 0.1354 0.0000  1 Nd 3.38, 6 Y 3.39-3.56, 4 Tm 3.48-3.57
20 Tm 0.4383 0.4233 0.0000  5 Tm 3.42-3.66, 6 Y 3.44-3.56
21 Tm 0.5617 0.5767 0.0000  5 Tm 3.42-3.66, 6 Y 3.44-3.56
22 Tm 0.5778 0.8646 0.0000  1 Nd 3.38, 6 Y 3.39-3.56, 4 Tm 3.48-3.57
23 Tm 0.6783 0.1275 0.5000  2 Y 3.28-3.31, 6 Tm 3.48-3.66, 2 Nd 3.62
24 Tm 0.8217 0.6275 0.5000  2 Y 3.28-3.31, 6 Tm 3.48-3.66, 2 Nd 3.62
25 Tm 0.9222 0.3646 0.0000  1 Nd 3.38, 6 Y 3.39-3.56, 4 Tm 3.48-3.57
26 Tm 0.9383 0.0767 0.0000  5 Tm 3.42-3.66, 6 Y 3.44-3.56

Computed properties:
DOS(E_F), states/eV/cell: 36.049
DFT formation energy, kJ/mol of atoms: 10.1
M_tot, μB per formula unit: 0.000



A plane-wave DFT calculation with PBE was carried out for a relaxed NdY2Tm4 crystal.

a b c (Å): 8.4702 8.4702 8.7118
angles (deg): 118.77 118.77 23.87
With the nearest neighbours (Å) after each atom.
Fractional coordinates of all 7 atoms:
1 Nd 0.0000 0.0000 0.0000  2 Y 3.33, 2 Nd 3.50, 4 Tm 3.56
2 Y 0.0705 0.0705 0.4303  1 Y 3.12, 3 Tm 3.28-3.49, 1 Nd 3.33
3 Y 0.9295 0.9295 0.5697  1 Y 3.12, 3 Tm 3.28-3.49, 1 Nd 3.33
4 Tm 0.2941 0.2941 0.7068  3 Y 3.28-3.49, 7 Tm 3.50-3.64, 2 Nd 3.56
5 Tm 0.3558 0.3558 0.1635  7 Tm 3.50-3.70, 4 Y 3.58-3.60, 2 Nd 3.76
6 Tm 0.6442 0.6442 0.8365  7 Tm 3.50-3.70, 4 Y 3.58-3.60, 2 Nd 3.76
7 Tm 0.7059 0.7059 0.2932  3 Y 3.28-3.49, 7 Tm 3.50-3.64, 2 Nd 3.56

Computed properties:
DOS(E_F), states/eV/cell: 10.576
Relative energy among the computed polymorphs, meV per atom: 0.0
DFT formation energy, kJ/mol of atoms: 4.1
M_tot, μB per formula unit: 0.000



The highest M_tot belongs to which entry? NdYTm4



What did the fourth record say?
A plane-wave DFT calculation with PBE was carried out for a relaxed NdYTm4 crystal.

a b c (Å): 6.5548 6.5548 6.5548
angles (deg): 60.00 60.00 60.00
With the nearest neighbours (Å) after each atom.
Fractional coordinates of all 6 atoms:
1 Nd 0.0000 0.0000 0.0000  12 Tm 3.84, 4 Y 4.01
2 Y 0.7500 0.7500 0.7500  12 Tm 3.84, 4 Nd 4.01
3 Tm 0.3755 0.3755 0.3755  6 Tm 3.26-3.29
4 Tm 0.3755 0.3755 0.8734  6 Tm 3.26-3.29
5 Tm 0.3755 0.8734 0.3755  6 Tm 3.26-3.29
6 Tm 0.8734 0.3755 0.3755  6 Tm 3.26-3.29

Computed properties:
DOS(E_F), states/eV/cell: 12.075
Relative energy among the computed polymorphs, meV per atom: 236.7
DFT formation energy, kJ/mol of atoms: 25.5
M_tot, μB per formula unit: 1.529



Copy entry 2 word for word.
A plane-wave DFT calculation with PBE was carried out for a relaxed Nd4Y3Tm4 crystal.

a b c (Å): 18.1436 18.1436 18.1436
angles (deg): 168.82 162.05 21.20
With the nearest neighbours (Å) after each atom.
Fractional coordinates of all 11 atoms:
1 Nd 0.0906 0.0906 0.0000  3 Tm 3.22-3.26, 2 Nd 3.54
2 Nd 0.2676 0.7676 0.5000  4 Tm 3.38-3.57, 6 Nd 3.54-3.57
3 Nd 0.7324 0.2324 0.5000  4 Tm 3.38-3.57, 6 Nd 3.54-3.57
4 Nd 0.9094 0.9094 0.0000  3 Tm 3.22-3.26, 2 Nd 3.54
5 Y 0.0000 0.5000 0.5000  2 Y 3.54, 4 Nd 3.68, 8 Tm 3.71
6 Y 0.3642 0.3642 0.0000  2 Y 3.54, 6 Tm 3.69-3.70, 6 Nd 3.71-3.87
7 Y 0.6358 0.6358 0.0000  2 Y 3.54, 6 Tm 3.69-3.70, 6 Nd 3.71-3.87
8 Tm 0.1808 0.1808 0.0000  5 Nd 3.22-3.57, 2 Tm 3.54
9 Tm 0.4548 0.9548 0.5000  3 Tm 3.22-3.54, 2 Nd 3.26
10 Tm 0.5452 0.0452 0.5000  3 Tm 3.22-3.54, 2 Nd 3.26
11 Tm 0.8192 0.8192 0.0000  5 Nd 3.22-3.57, 2 Tm 3.54

Computed properties:
DOS(E_F), states/eV/cell: 19.474
Relative energy among the computed polymorphs, meV per atom: 28.7
DFT formation energy, kJ/mol of atoms: 6.0
M_tot, μB per formula unit: 0.000